(1)
Below is Pm2YHfP4 after structural relaxation, with properties calculated at the GGA-PBE level.

The crystal system is monoclinic. The final energy comes out at -7.4498 eV/atom.

Cell and atoms, written as POSCAR:
```
Pm2YHfP4
1.0
6.892 0.000 0.000
0.000 3.974 0.000
-2.274 0.000 6.521
Pm Y Hf P
2 1 1 4
direct
0.000 0.000 0.000
0.500 0.500 0.000
0.000 0.500 0.500
0.500 0.000 0.500
0.256 0.000 0.735
0.267 0.500 0.272
0.733 0.500 0.728
0.744 0.000 0.265
```

***

(2)
Below is Y6SnP3S2 after structural relaxation, with properties calculated at the GGA-PBE level.

For the energy relative to the elements, uncorrected, the calculation gives -155.4 kJ/mol of atoms. The crystal system is monoclinic.

Cell and atoms, written as POSCAR:
```
Y6SnP3S2
1.0
8.851 -2.003 0.000
8.851 2.003 0.000
-1.899 0.000 7.981
Y Sn P S
6 1 3 2
direct
0.000 0.000 0.231
0.000 0.000 0.769
0.327 0.327 0.418
0.335 0.335 0.910
0.665 0.665 0.090
0.673 0.673 0.582
0.500 0.500 0.500
0.167 0.167 0.331
0.500 0.500 0.000
0.833 0.833 0.669
0.170 0.170 0.840
0.830 0.830 0.160
```

***

(3)
Below is Tb4ZnIr4 after structural relaxation, with properties calculated at the GGA-PBE level.

The crystal system is tetragonal. The final energy comes out at -6.7103 eV/atom.

Cell and atoms, written as POSCAR:
```
Tb4ZnIr4
1.0
8.520 0.000 0.000
0.000 8.520 0.000
0.000 0.000 5.593
Tb Zn Ir
8 2 8
direct
0.052 0.819 0.111
0.181 0.552 0.611
0.319 0.948 0.611
0.448 0.681 0.111
0.552 0.319 0.889
0.681 0.052 0.389
0.819 0.448 0.389
0.948 0.181 0.889
0.250 0.250 0.250
0.750 0.750 0.750
0.001 0.133 0.390
0.133 0.499 0.110
0.367 0.001 0.110
0.499 0.367 0.390
0.501 0.633 0.610
0.633 0.999 0.890
0.867 0.501 0.890
0.999 0.867 0.610
```

***

(4)
Below is Nd4Ho10Er after structural relaxation, with properties calculated at the GGA-PBE level.

The crystal system is tetragonal. The final energy comes out at -4.3585 eV/atom.

Cell and atoms, written as POSCAR:
```
Nd4Ho10Er
1.0
-5.632 5.632 3.966
5.632 -5.632 3.966
5.632 5.632 -3.966
Nd Ho Er
4 10 1
direct
0.228 0.228 0.456
0.228 0.772 0.000
0.772 0.228 0.000
0.772 0.772 0.544
0.085 0.293 0.792
0.250 0.750 0.500
0.293 0.085 0.792
0.293 0.501 0.208
0.499 0.707 0.792
0.501 0.293 0.208
0.707 0.499 0.792
0.707 0.915 0.208
0.750 0.250 0.500
0.915 0.707 0.208
0.000 0.000 0.000
```

***

(5)
Below is TiPO2F after structural relaxation, with properties calculated at the GGA-PBE level.

For the energy relative to the elements, uncorrected, the calculation gives -138.9 kJ/mol of atoms. The crystal system is tetragonal.

Cell and atoms, written as POSCAR:
```
TiPO2F
1.0
3.904 0.000 0.000
0.000 3.904 0.000
0.000 0.000 3.959
Ti P O F
1 1 2 1
direct
0.000 0.000 0.000
0.500 0.500 0.500
0.000 0.500 0.000
0.500 0.000 0.000
0.000 0.000 0.500
```

***

(6)
Below is TbY4Pb5 after structural relaxation, with properties calculated at the GGA-PBE level.

The crystal system is tetragonal. The final energy comes out at -5.2641 eV/atom.

Cell and atoms, written as POSCAR:
```
TbY4Pb5
1.0
-4.985 4.985 3.153
4.985 -4.985 3.153
4.985 4.985 -3.153
Tb Y Pb
1 4 5
direct
0.000 0.000 0.000
0.202 0.402 0.600
0.402 0.802 0.200
0.602 0.202 0.800
0.802 0.602 0.400
0.102 0.703 0.800
0.302 0.102 0.399
0.500 0.500 0.000
0.703 0.903 0.601
0.903 0.302 0.200
```

***

(7)
Below is CsHf2CoW after structural relaxation, with properties calculated at the GGA-PBE level.

The crystal system is tetragonal. The final energy comes out at -6.8404 eV/atom.

Cell and atoms, written as POSCAR:
```
CsHf2CoW
1.0
5.199 0.000 0.000
0.000 5.199 0.000
0.000 0.000 4.896
Cs Hf Co W
1 2 1 1
direct
0.000 0.000 0.000
0.000 0.500 0.500
0.500 0.000 0.500
0.500 0.500 0.000
0.500 0.500 0.500
```

***

(8)
Below is CoMoIr after structural relaxation, with properties calculated at the GGA-PBE level.

As for the energy above the most stable polymorph in this dataset: 181 meV per atom. The crystal system is tetragonal.

Cell and atoms, written as POSCAR:
```
CoMoIr
1.0
-1.553 1.553 4.300
1.553 -1.553 4.300
1.553 1.553 -4.300
Co Mo Ir
1 1 1
direct
0.000 0.000 0.000
0.631 0.631 0.000
0.318 0.318 0.000
```

***

(9)
Below is ReP2BrCl after structural relaxation, with properties calculated at the GGA-PBE level.

As for the energy above the most stable polymorph in this dataset: 1675 meV per atom. For the energy relative to the elements, uncorrected, the calculation gives 194.5 kJ/mol of atoms. The crystal system is tetragonal.

Cell and atoms, written as POSCAR:
```
ReP2BrCl
1.0
4.912 0.000 0.000
0.000 4.912 0.000
0.000 0.000 4.819
Re P Br Cl
1 2 1 1
direct
0.000 0.000 0.000
0.000 0.500 0.500
0.500 0.000 0.500
0.500 0.500 0.500
0.500 0.500 0.000
```

***

(10)
Below is Cu2Pd8Pt3 after structural relaxation, with properties calculated at the GGA-PBE level.

As for the energy above the most stable polymorph in this dataset: 0 meV per atom. The crystal system is orthorhombic.

Cell and atoms, written as POSCAR:
```
Cu2Pd8Pt3
1.0
4.230 -6.947 0.000
4.230 6.947 0.000
0.000 0.000 3.671
Cu Pd Pt
2 8 3
direct
0.234 0.766 0.000
0.766 0.234 0.000
0.104 0.896 0.500
0.110 0.398 0.000
0.353 0.647 0.500
0.398 0.110 0.000
0.602 0.890 0.000
0.647 0.353 0.500
0.890 0.602 0.000
0.896 0.104 0.500
0.267 0.267 0.500
0.500 0.500 0.000
0.733 0.733 0.500
```

***

(11)
Below is AlSb after structural relaxation, with properties calculated at the GGA-PBE level.

For the energy relative to the elements, uncorrected, the calculation gives 12.5 kJ/mol of atoms. The crystal system is monoclinic.

Cell and atoms, written as POSCAR:
```
AlSb
1.0
6.448 -1.942 0.000
6.448 1.942 0.000
-3.773 0.000 5.946
Al Sb
3 3
direct
0.000 0.000 0.000
0.572 0.572 0.424
0.901 0.901 0.442
0.220 0.220 0.416
0.345 0.345 0.031
0.576 0.576 0.809
```

***

(12)
Below is SrTlRh after structural relaxation, with properties calculated at the GGA-PBE level.

The crystal system is cubic. The final energy comes out at -3.9844 eV/atom.

Cell and atoms, written as POSCAR:
```
SrTlRh
1.0
0.000 3.452 3.452
3.452 0.000 3.452
3.452 3.452 0.000
Sr Tl Rh
1 1 1
direct
0.000 0.000 0.000
0.500 0.500 0.500
0.750 0.750 0.750
```

***

Number 1: DOS at the Fermi energy 1.458 states/eV/f.u.. Number 2: DOS at the Fermi energy 2.477 states/eV/f.u.. Number 3: DOS at the Fermi energy 5.825 states/eV/f.u.. Number 4: DOS at the Fermi energy 21.954 states/eV/f.u.. Number 5: DOS at the Fermi energy 3.035 states/eV/f.u.. Number 6: DOS at the Fermi energy 8.731 states/eV/f.u.. Number 7: DOS at the Fermi energy 9.262 states/eV/f.u.. Number 8: DOS at the Fermi energy 3.461 states/eV/f.u.. Number 9: DOS at the Fermi energy 2.600 states/eV/f.u.. Number 10: DOS at the Fermi energy 24.917 states/eV/f.u.. Number 11: DOS at the Fermi energy 0.679 states/eV/f.u.. Number 12: DOS at the Fermi energy 1.525 states/eV/f.u..